Entry from the Alexandria database: Ca2BW after structural relaxation (PBE).

Raw total energy, eV/cell: -82.13
ΔH_f (0 K), eV per atom: 0.775

a b c (Å): 10.1487 10.1487 4.2277
angles (deg): 90.00 90.00 90.00
Last column: nearest neighbours and their distance in Å.
Fractional positions:
Ca 0.0789 0.2500 0.1250  2 B 2.71
Ca 0.2500 0.5789 0.3750  2 B 2.71
Ca 0.2500 0.9211 0.8750  2 B 2.71
Ca 0.4211 0.2500 0.6250  2 B 2.71
Ca 0.5789 0.7500 0.6250  2 B 2.71
Ca 0.7500 0.0789 0.8750  2 B 2.71
Ca 0.7500 0.4211 0.3750  2 B 2.71
Ca 0.9211 0.7500 0.1250  2 B 2.71
B 0.0000 0.0000 0.0000  2 W 2.11
B 0.0000 0.5000 0.2500  2 W 2.11
B 0.5000 0.0000 0.7500  2 W 2.11
B 0.5000 0.5000 0.5000  2 W 2.11
W 0.0000 0.0000 0.5000  2 B 2.11
W 0.0000 0.5000 0.7500  2 B 2.11
W 0.5000 0.0000 0.2500  2 B 2.11
W 0.5000 0.5000 0.0000  2 B 2.11